# 1
ScNi2Mo (PBE, optimized geometry); formation energy = 471 meV/atom; space-group type = I-42d, No. 122
1.0
-1.934 1.934 8.493
1.934 -1.934 8.493
1.934 1.934 -8.493
Sc Ni Mo
2 4 2
Direct
0.000 0.000 0.000
0.750 0.250 0.500
0.148 0.625 0.023
0.375 0.398 0.523
0.602 0.125 0.977
0.875 0.852 0.477
0.250 0.750 0.500
0.500 0.500 0.000

---

# 2
MgSi2HgO6 (PBE, optimized geometry); formation energy from raw total energies = -2.243 eV/atom; space-group type = C2/c, No. 15
1.0
5.306 -5.357 0.000
5.306 5.357 0.000
-2.247 0.000 4.994
Mg Si Hg O
2 4 2 12
Direct
0.239 0.761 0.750
0.761 0.239 0.250
0.207 0.370 0.289
0.370 0.207 0.789
0.630 0.793 0.211
0.793 0.630 0.711
0.124 0.876 0.250
0.876 0.124 0.750
0.004 0.235 0.166
0.183 0.586 0.400
0.235 0.004 0.666
0.301 0.329 0.044
0.329 0.301 0.544
0.414 0.817 0.100
0.586 0.183 0.900
0.671 0.699 0.456
0.699 0.671 0.956
0.765 0.996 0.334
0.817 0.414 0.600
0.996 0.765 0.834

---

# 3
LiPtCl2 (PBE, optimized geometry); formation energy from raw total energies = -0.560 eV/atom; space-group type = Cm, No. 8
1.0
7.783 -1.717 0.000
7.783 1.717 0.000
-0.409 0.000 3.425
Li Pt Cl
1 1 2
Direct
0.000 0.000 0.000
0.274 0.274 0.663
0.501 0.501 0.501
0.751 0.751 0.148

---

# 4
Rb3SrCr2Br9 (PBE, optimized geometry); formation energy from raw total energies = -1.357 eV/atom; space-group type = P-3m1, No. 164
1.0
7.770 0.000 0.000
-3.885 6.729 0.000
0.000 0.000 9.749
Rb Sr Cr Br
3 1 2 9
Direct
0.000 0.000 0.000
0.333 0.667 0.696
0.667 0.333 0.304
0.000 0.000 0.500
0.333 0.667 0.153
0.667 0.333 0.847
0.000 0.500 0.000
0.175 0.349 0.311
0.175 0.825 0.311
0.349 0.175 0.689
0.500 0.000 0.000
0.500 0.500 0.000
0.651 0.825 0.311
0.825 0.175 0.689
0.825 0.651 0.689

---

# 5
YTlCr2 (PBE, optimized geometry); formation energy = 780 meV/atom; space-group type = I-42d, No. 122
1.0
-3.932 3.932 3.080
3.932 -3.932 3.080
3.932 3.932 -3.080
Y Tl Cr
2 2 4
Direct
0.000 0.000 0.000
0.750 0.250 0.500
0.250 0.750 0.500
0.500 0.500 0.000
0.147 0.625 0.022
0.375 0.397 0.522
0.603 0.125 0.978
0.875 0.853 0.478

---

# 6
MgCoPb2 (PBE, optimized geometry); formation energy = 318 meV/atom; space-group type = Immm, No. 71
1.0
-1.815 2.737 4.518
1.815 -2.737 4.518
1.815 2.737 -4.518
Mg Co Pb
1 1 2
Direct
0.000 0.000 0.000
0.500 0.500 0.000
0.285 0.785 0.500
0.715 0.215 0.500

---

Number 1: N(E_F) 10.1 states/eV per cell. Number 2: N(E_F) 0.0 states/eV per cell. Number 3: N(E_F) 1.6 states/eV per cell. Number 4: N(E_F) 2.2 states/eV per cell. Number 5: N(E_F) 6.4 states/eV per cell. Number 6: N(E_F) 2.6 states/eV per cell.